<P>
Material: Nd5Bi4Se
Method: DFT, PBE-GGA
State: relaxed

Cell lengths 4.550, 4.550, 32.042 Å; angles 90.00, 90.00, 90.00 degrees
Space group I4/mmm (No. 139)
One atom of each set of equivalent atoms:
Nd 0.000 0.000 0.000 [2 per cell]
Nd 0.000 0.000 0.201 [4 per cell]
Nd 0.000 0.000 0.405 [4 per cell]
Bi 0.000 0.000 0.099 [4 per cell]
Bi 0.000 0.000 0.302 [4 per cell]
Se 0.000 0.000 0.500 [2 per cell]

Total magnetic moment (μB/cell): 0.0
DOS at the Fermi energy (states/eV per atom): 0.254


<Q>
Material: Nd5Bi4Se
Method: DFT, PBE-GGA
State: relaxed

Cell lengths 10.142, 10.142, 6.440 Å; angles 90.00, 90.00, 90.00 degrees
Space group I4/m (No. 87)
One atom of each set of equivalent atoms:
Nd 0.000 0.000 0.000 [2 per cell]
Nd 0.099 0.290 0.500 [8 per cell]
Bi 0.096 0.301 0.000 [8 per cell]
Se 0.000 0.000 0.500 [2 per cell]

Total magnetic moment (μB/cell): 0.0
DOS at the Fermi energy (states/eV per atom): 0.269


Need the numbers? Relative energies in meV/atom: <P> 12; <Q> 0.


<P>
Material: NdBiSe3
Method: DFT, PBE-GGA
State: relaxed

Cell lengths 8.305, 4.186, 8.438 Å; angles 90.00, 91.53, 90.00 degrees
Space group P2_1/m (No. 11)
One atom of each set of equivalent atoms:
Nd 0.117 0.250 0.283 [2 per cell]
Bi 0.349 0.750 0.833 [2 per cell]
Se 0.116 0.250 0.900 [2 per cell]
Se 0.183 0.750 0.522 [2 per cell]
Se 0.379 0.750 0.174 [2 per cell]

Total magnetic moment (μB/cell): 0.0


<Q>
Material: NdBiSe3
Method: DFT, PBE-GGA
State: relaxed

Cell lengths 16.159, 4.497, 9.352 Å; angles 90.00, 119.92, 90.00 degrees
Space group C2/m (No. 12)
One atom of each set of equivalent atoms:
Nd 0.119 0.000 0.276 [4 per cell]
Bi 0.145 0.500 0.768 [4 per cell]
Se 0.053 0.500 0.388 [4 per cell]
Se 0.118 0.000 0.951 [4 per cell]
Se 0.238 0.000 0.659 [4 per cell]

Total magnetic moment (μB/cell): 0.0


Need the numbers? Relative energies in meV/atom: <P> 0; <Q> 69.


<P>
Material: Nd2Sm2Bi3
Method: DFT, PBE-GGA
State: relaxed

Cell lengths 14.718, 4.566, 7.687 Å; angles 90.00, 99.28, 90.00 degrees
Space group C2/m (No. 12)
One atom of each set of equivalent atoms:
Nd 0.124 0.000 0.363 [4 per cell]
Sm 0.120 0.500 0.883 [4 per cell]
Bi 0.000 0.500 0.500 [2 per cell]
Bi 0.242 0.000 0.753 [4 per cell]

Total magnetic moment (μB/cell): 0.0
DOS at the Fermi energy (states/eV per atom): 0.531


<Q>
Material: Nd2Sm2Bi3
Method: DFT, PBE-GGA
State: relaxed

Cell lengths 9.639, 9.639, 9.639 Å; angles 90.00, 90.00, 90.00 degrees
Space group I2_13 (No. 199)
One atom of each set of equivalent atoms:
Nd 0.177 0.177 0.177 [8 per cell]
Sm 0.071 0.429 0.571 [8 per cell]
Bi 0.000 0.250 0.872 [12 per cell]

Total magnetic moment (μB/cell): 0.0
DOS at the Fermi energy (states/eV per atom): 1.175


Need the numbers? Relative energies in meV/atom: <P> 151; <Q> 0.


<P>
Material: Nd4SnBi2
Method: DFT, PBE-GGA
State: relaxed

Cell lengths 9.870, 14.270, 14.288 Å; angles 90.00, 90.00, 90.00 degrees
Space group Fddd (No. 70, origin choice 2)
One atom of each set of equivalent atoms:
Nd 0.063 0.280 0.470 [32 per cell]
Sn 0.125 0.125 0.625 [8 per cell]
Bi 0.000 0.000 0.000 [16 per cell]

Total magnetic moment (μB/cell): 0.4
DOS at the Fermi energy (states/eV per atom): 1.052


<Q>
Material: Nd4SnBi2
Method: DFT, PBE-GGA
State: relaxed

Cell lengths 9.647, 9.647, 9.701 Å; angles 90.00, 90.00, 90.00 degrees
Space group I-42d (No. 122)
One atom of each set of equivalent atoms:
Nd 0.070 0.681 0.450 [16 per cell]
Sn 0.000 0.000 0.500 [4 per cell]
Bi 0.122 0.750 0.125 [8 per cell]

Total magnetic moment (μB/cell): 0.0
DOS at the Fermi energy (states/eV per atom): 1.117


Need the numbers? Relative energies in meV/atom: <P> 179; <Q> 0.